Density functional theory data (PBE with a Hubbard U) for crystalline Cs2CoAuO4 at its relaxed geometry.

Properties
Energy in eV per atom: -4.4546
Total magnetic moment in μB/cell: 12.0
Mass density in g cm⁻³: 5.1

abc: 5.5721 6.9540 11.0183
angles: 84.19 75.35 66.38
Last column: nearest neighbours and their distance in Å.
Fractional positions:
Cs 0.1765 0.0000 0.6469  6 O 3.17-3.54
Cs 0.8235 0.0000 0.3531  6 O 3.17-3.54
Cs 0.5735 0.5000 0.8531  6 O 3.17-3.54
Cs 0.9265 0.5000 0.1469  6 O 3.17-3.54
Co 0.2500 0.5000 0.5000  4 O 1.83
Co 0.5000 0.0000 0.0000  4 O 1.83
Au 0.7500 0.5000 0.5000  4 O 2.21
Au 0.0000 0.0000 0.0000  4 O 2.21
O 0.3497 0.8170 0.0813  1 Co 1.83
O 0.2480 0.1830 0.9187  1 Co 1.83
O 0.8333 0.8170 0.9187  1 Co 1.83
O 0.5690 0.1830 0.0813  1 Co 1.83
O 0.4003 0.6830 0.4187  1 Co 1.83
O 0.5020 0.3170 0.5813  1 Co 1.83
O 0.9167 0.6830 0.5813  1 Co 1.83
O 0.1810 0.3170 0.4187  1 Co 1.83